1.
ScRhSe2 | SCAN | single point on PBEsol structure

Results
Energy above the lowest structure with this stoichiometry in meV/atom: 182
E_tot in Ry/atom: -1.6860
Formation energy from raw total energies in eV per atom: -0.898
ρ in g/cm3: 6.99
Total moment in Bohr magnetons per cell: 0.0
Fermi-level density of states in states/eV per cell: 10.086

Cell: 3.9124 3.9124 16.4279 Å, 90.00 90.00 120.00°
Space group R-3m (No. 166, hexagonal axes)
Asymmetric unit:
Sc: 0.0000 0.0000 0.0000 x3
Rh: 0.0000 0.0000 0.5000 x3
Se: 0.0000 0.0000 0.2440 x6



2.
Sc3Si3Rh | SCAN | single point on PBEsol structure

Results
E_tot in Ry/atom: -1.1944
Formation energy from raw total energies in eV per atom: -1.033
ρ in g/cm3: 4.58
Total moment in Bohr magnetons per cell: 0.0
Fermi-level density of states in states/eV per cell: 11.788

Cell: 11.573 3.985 10.123 Å, 90.00 90.00 90.00°
Space group Pnma (No. 62)
Asymmetric unit:
Sc: 0.020 0.250 0.123 x4
Sc: 0.101 0.250 0.420 x4
Sc: 0.200 0.750 0.658 x4
Si: 0.045 0.250 0.694 x4
Si: 0.158 0.750 0.250 x4
Si: 0.178 0.750 0.014 x4
Rh: 0.177 0.250 0.889 x4



Q: Which formula does entry 2 have?
A: Sc3Si3Rh



What did the second record say?
Sc3Si3Rh | SCAN | single point on PBEsol structure

Results
E_tot in Ry/atom: -1.1944
Formation energy from raw total energies in eV per atom: -1.033
ρ in g/cm3: 4.58
Total moment in Bohr magnetons per cell: 0.0
Fermi-level density of states in states/eV per cell: 11.788

Cell: 11.573 3.985 10.123 Å, 90.00 90.00 90.00°
Space group Pnma (No. 62)
Asymmetric unit:
Sc: 0.020 0.250 0.123 x4
Sc: 0.101 0.250 0.420 x4
Sc: 0.200 0.750 0.658 x4
Si: 0.045 0.250 0.694 x4
Si: 0.158 0.750 0.250 x4
Si: 0.178 0.750 0.014 x4
Rh: 0.177 0.250 0.889 x4



Q: Which value of total moment does entry 2 give?
A: 0.0 Bohr magnetons per cell